(1)
## BiTe2AsN (PBE-GGA)

Data for a relaxed BiTe2AsN crystal.

Unit cell a=5.7397 b=5.7397 c=3.7579 alpha=90.00 beta=90.00 gamma=90.00
Space group P4/mmm (No. 123)
Unique sites:
Bi 0.0000 0.0000 0.0000
Te 0.0000 0.5000 0.5000
As 0.5000 0.5000 0.5000
N 0.5000 0.5000 0.0000

Uncorrected formation energy = 652 meV per atom
Total magnetization = 0.642 μB per cell
Excess energy over the best structure of this formula in the dataset = 0 meV/atom

---

(2)
## BiTeAsN2 (PBE-GGA)

Data for a relaxed BiTeAsN2 crystal.

Unit cell a=4.1818 b=4.1818 c=5.4190 alpha=90.00 beta=90.00 gamma=90.00
Space group P4/mmm (No. 123)
Unique sites:
Bi 0.0000 0.0000 0.0000
Te 0.5000 0.5000 0.0000
As 0.5000 0.5000 0.5000
N 0.0000 0.5000 0.5000

Uncorrected formation energy = 1403 meV per atom
Total magnetization = 0.000 μB per cell
Excess energy over the best structure of this formula in the dataset = 0 meV/atom

---

(3)
## Ti2BiAsN (PBE-GGA)

Data for a relaxed Ti2BiAsN crystal.

Unit cell a=4.9432 b=4.9432 c=3.8411 alpha=90.00 beta=90.00 gamma=90.00
Space group P4/mmm (No. 123)
Unique sites:
Ti 0.0000 0.5000 0.0000
Bi 0.0000 0.0000 0.5000
As 0.5000 0.5000 0.0000
N 0.5000 0.5000 0.5000

Uncorrected formation energy = 459 meV per atom
Total magnetization = 0.000 μB per cell

---

(4)
## Tm3BiAsN (PBE-GGA)

Data for a relaxed Tm3BiAsN crystal.

Unit cell a=8.7964 b=4.0625 c=9.1118 alpha=90.00 beta=100.53 gamma=90.00
Space group P2_1/m (No. 11)
Unique sites:
Tm 0.0866 0.2500 0.3589
Tm 0.3513 0.2500 0.9907
Tm 0.3744 0.7500 0.6701
Bi 0.3313 0.7500 0.2925
As 0.1423 0.2500 0.6710
N 0.4068 0.7500 0.9048

Uncorrected formation energy = -1209 meV per atom
Total magnetization = 0.000 μB per cell

---

(5)
## VBi2AsN (PBE-GGA)

Data for a relaxed VBi2AsN crystal.

Unit cell a=4.9177 b=4.9177 c=4.1449 alpha=90.00 beta=90.00 gamma=90.00
Space group P4/mmm (No. 123)
Unique sites:
V 0.0000 0.0000 0.0000
Bi 0.0000 0.5000 0.5000
As 0.5000 0.5000 0.0000
N 0.5000 0.5000 0.5000

Uncorrected formation energy = 909 meV per atom
Total magnetization = 0.042 μB per cell

---

(6)
## BiAsW2N (PBE-GGA)

Data for a relaxed BiAsW2N crystal.

Unit cell a=4.6169 b=4.6169 c=5.5271 alpha=90.00 beta=90.00 gamma=90.00
Space group P4/mmm (No. 123)
Unique sites:
Bi 0.0000 0.0000 0.0000
As 0.0000 0.0000 0.5000
W 0.0000 0.5000 0.5000
N 0.5000 0.5000 0.0000

Uncorrected formation energy = 2655 meV per atom
Total magnetization = 1.286 μB per cell

---

(7)
## Y3BiAsN (PBE-GGA)

Data for a relaxed Y3BiAsN crystal.

Unit cell a=8.8970 b=4.1358 c=9.2462 alpha=90.00 beta=100.65 gamma=90.00
Space group P2_1/m (No. 11)
Unique sites:
Y 0.0851 0.2500 0.3561
Y 0.3492 0.2500 0.9886
Y 0.3776 0.7500 0.6678
Bi 0.3292 0.7500 0.2906
As 0.1440 0.2500 0.6679
N 0.4076 0.7500 0.9033

Uncorrected formation energy = -1230 meV per atom
Total magnetization = 0.000 μB per cell

---

(8)
## Na2BiAs (PBE-GGA)

Data for a relaxed Na2BiAs crystal.

Unit cell a=3.8038 b=3.8038 c=6.8874 alpha=90.00 beta=90.00 gamma=90.00
Space group P4/mmm (No. 123)
Unique sites:
Na 0.0000 0.0000 0.2172
Bi 0.5000 0.5000 0.5000
As 0.5000 0.5000 0.0000

Total magnetization = 0.000 μB per cell
Energy relative to the elements = -0.18 eV per atom
Excess energy over the best structure of this formula in the dataset = 102 meV/atom

---

Copy entry 2 word for word.
## BiTeAsN2 (PBE-GGA)

Data for a relaxed BiTeAsN2 crystal.

Unit cell a=4.1818 b=4.1818 c=5.4190 alpha=90.00 beta=90.00 gamma=90.00
Space group P4/mmm (No. 123)
Unique sites:
Bi 0.0000 0.0000 0.0000
Te 0.5000 0.5000 0.0000
As 0.5000 0.5000 0.5000
N 0.0000 0.5000 0.5000

Uncorrected formation energy = 1403 meV per atom
Total magnetization = 0.000 μB per cell
Excess energy over the best structure of this formula in the dataset = 0 meV/atom

---

- Which value of total magnetization does entry 8 give?
  0.000 μB per cell